[1]
{
  "formula": "Li5Al2Cd4",
  "functional": "GGA-PBE",
  "state": "relaxed",
  "lattice_angstrom": [[7.369, 0.000, 0.000], [0.000, 17.486, 0.000], [0.000, 0.000, 3.135]],
  "species": ["Li", "Li", "Li", "Li", "Li", "Li", "Li", "Li", "Li", "Li", "Al", "Al", "Al", "Al", "Cd", "Cd", "Cd", "Cd", "Cd", "Cd", "Cd", "Cd"],
  "frac_coords": [[0.000, 0.000, 0.000], [0.135, 0.433, 0.000], [0.243, 0.209, 0.000], [0.257, 0.709, 0.000], [0.365, 0.933, 0.000], [0.500, 0.500, 0.000], [0.635, 0.067, 0.000], [0.743, 0.291, 0.000], [0.757, 0.791, 0.000], [0.865, 0.567, 0.000], [0.049, 0.307, 0.500], [0.451, 0.807, 0.500], [0.549, 0.193, 0.500], [0.951, 0.693, 0.500], [0.078, 0.848, 0.500], [0.209, 0.570, 0.500], [0.291, 0.070, 0.500], [0.422, 0.348, 0.500], [0.578, 0.652, 0.500], [0.709, 0.930, 0.500], [0.791, 0.430, 0.500], [0.922, 0.152, 0.500]],
  "magmom_total_mub_per_cell": 0.000,
  "formation_enthalpy_0k_ev_per_atom": -0.17,
  "space_group": "Pbam (55)"
}

---

[2]
{
  "formula": "LiAlCd2",
  "functional": "GGA-PBE",
  "state": "relaxed",
  "lattice_angstrom": [[-2.263, 2.263, 3.730], [2.263, -2.263, 3.730], [2.263, 2.263, -3.730]],
  "species": ["Li", "Al", "Cd", "Cd"],
  "frac_coords": [[0.000, 0.000, 0.000], [0.500, 0.500, 0.000], [0.250, 0.750, 0.500], [0.750, 0.250, 0.500]],
  "magmom_total_mub_per_cell": 0.000,
  "formation_enthalpy_0k_ev_per_atom": -0.09,
  "space_group": "I4/mmm (139)"
}

---

[3]
{
  "formula": "Li6AlCd5",
  "functional": "GGA-PBE",
  "state": "relaxed",
  "lattice_angstrom": [[7.209, -3.341, 0.000], [7.209, 3.341, 0.000], [-1.369, 0.000, 4.435]],
  "species": ["Li", "Li", "Li", "Li", "Li", "Li", "Al", "Cd", "Cd", "Cd", "Cd", "Cd"],
  "frac_coords": [[0.082, 0.586, 0.334], [0.246, 0.754, 0.000], [0.414, 0.918, 0.666], [0.586, 0.082, 0.334], [0.754, 0.246, 0.000], [0.918, 0.414, 0.666], [0.000, 0.000, 0.500], [0.163, 0.163, 0.165], [0.333, 0.333, 0.834], [0.500, 0.500, 0.500], [0.667, 0.667, 0.166], [0.837, 0.837, 0.835]],
  "magmom_total_mub_per_cell": 0.000,
  "formation_enthalpy_0k_ev_per_atom": -0.22,
  "space_group": "C2/m (12)"
}

---

[4]
{
  "formula": "Li4AlCd3",
  "functional": "GGA-PBE",
  "state": "relaxed",
  "lattice_angstrom": [[3.296, -3.285, 0.000], [3.296, 3.285, 0.000], [-3.273, 0.000, 6.495]],
  "species": ["Li", "Li", "Li", "Li", "Al", "Cd", "Cd", "Cd"],
  "frac_coords": [[0.121, 0.622, 0.743], [0.378, 0.879, 0.257], [0.622, 0.121, 0.743], [0.879, 0.378, 0.257], [0.000, 0.000, 0.500], [0.244, 0.244, 0.987], [0.500, 0.500, 0.500], [0.756, 0.756, 0.013]],
  "magmom_total_mub_per_cell": 0.000,
  "formation_enthalpy_0k_ev_per_atom": -0.21,
  "space_group": "C2/m (12)"
}